1.
4
Lattice="-5.0715 1.6076 -1.6413 -4.0220 -3.8165 -0.5071 3.6740 2.4307 3.4048" Properties=species:S:1:pos:R:3 comment="YTaOs2 | the Alexandria database | GGA-PBE | relaxed" m_tot_mub_per_atom=0.00 space_group=Imm2 e_tot_ev_per_cell=-40.38 ef_mev_per_atom=99 dos_ef_per_ev_fu=3.30 pbc="T T T"
Y -2.4282 -1.2405 0.9163
Os -2.9189 1.4799 0.3572
Os -9.0151 -2.1898 -2.1299
Ta -4.6975 -1.1410 -1.1098



2.
4
Lattice="-3.1357 0.0274 -1.9461 1.2695 -2.7685 -2.0844 -3.4712 -5.7419 5.5122" Properties=species:S:1:pos:R:3 comment="LiLaHo2 | the Alexandria database | GGA-PBE | relaxed" m_tot_mub_per_atom=0.00 space_group=P4/mmm e_tot_ev_per_cell=-15.64 ef_mev_per_atom=89 dos_ef_per_ev_fu=6.06 pbc="T T T"
Ho -2.7324 -4.5198 4.3390
Ho -0.7388 -1.2221 1.1732
Li -0.9331 -1.3706 -2.0153
La -2.6687 -4.2415 0.7408